[1]
Entry from Alexandria via LeMat-Bulk: a relaxed P2AuSF crystal (PBE).

```
P2AuSF
1.0
4.054 0.000 0.000
0.000 4.054 0.000
0.000 0.000 5.359
S Au F P
1 1 1 2
direct
0.000 0.000 0.500
0.500 0.500 0.500
0.000 0.000 0.000
0.500 0.000 0.000
0.000 0.500 0.000
```

## Properties
Raw formation energy ... 847 meV/atom
Total moment ... 0.0 μB/cell
SG ... No. 123
VASP energy ... -0.2332 Ry per atom
Energy above the most stable polymorph in this dataset ... 0.00 kJ/mol of atoms



[2]
Entry from Alexandria via LeMat-Bulk: a relaxed P2AuSF crystal (PBE).

```
P2AuSF
1.0
4.859 0.000 0.000
0.000 4.859 0.000
0.000 0.000 4.856
P S Au F
2 1 1 1
direct
0.500 0.000 0.000
0.000 0.500 0.000
0.000 0.000 0.500
0.000 0.000 0.000
0.500 0.500 0.500
```

## Properties
Raw formation energy ... 991 meV/atom
Total moment ... 0.8 μB/cell
SG ... No. 123
VASP energy ... -0.2225 Ry per atom
Energy above the most stable polymorph in this dataset ... 13.93 kJ/mol of atoms



[3]
Entry from Alexandria via LeMat-Bulk: a relaxed SbPAuF2 crystal (PBE).

```
SbPAuF2
1.0
4.256 0.000 0.000
0.000 4.905 0.000
0.000 0.000 4.256
P F Au Sb
1 2 1 1
direct
0.000 0.500 0.000
0.000 0.000 0.500
0.500 0.000 0.000
0.000 0.000 0.000
0.500 0.500 0.500
```

## Properties
Raw formation energy ... -315 meV/atom
Total moment ... 0.0 μB/cell
SG ... No. 123
VASP energy ... -0.2665 Ry per atom



[4]
Entry from Alexandria via LeMat-Bulk: a relaxed TiPAuF2 crystal (PBE).

```
TiPAuF2
1.0
-1.146 -2.069 3.220
-3.855 -3.181 -3.416
2.860 -2.698 -0.716
F P Au Ti
2 1 1 1
direct
0.500 0.000 0.000
0.000 0.000 0.500
0.500 0.500 0.500
0.000 0.000 0.000
0.000 0.500 0.000
```

## Properties
Raw formation energy ... -256 meV/atom
Total moment ... 0.7 μB/cell
SG ... No. 123
VASP energy ... -0.3176 Ry per atom
Energy above the most stable polymorph in this dataset ... 41.71 kJ/mol of atoms